Entry 1:
Below is an optimized crystal structure of YTmInPb, with properties calculated at the PBE level.

a = 5.3705 Å, b = 5.3705 Å, c = 5.3705 Å
α = 60.00°, β = 60.00°, γ = 60.00°
Last column: nearest neighbours and their distance in Å.
Element x y z (fractional)
Y: 0.0000 0.0000 0.0000  4 Pb 3.29, 4 In 3.29
Tm: 0.5000 0.5000 0.5000  4 In 3.29, 4 Pb 3.29
In: 0.2500 0.2500 0.2500  4 Tm 3.29, 4 Y 3.29
Pb: 0.7500 0.7500 0.7500  4 Tm 3.29, 4 Y 3.29

Properties
* distance to the lowest polymorph of the same formula: 0.18 eV per formula unit
* theoretical density: 8.8 Mg/m³
* energy: -18.9 eV/cell
* symmetry: F-43m
* calculated formation energy: -0.3887 eV per atom
* DOS(E_F): 1.012 states/eV per atom

=====

Entry 2:
Below is an optimized crystal structure of YTmInPb, with properties calculated at the PBE level.

a = 5.6312 Å, b = 5.6312 Å, c = 5.6312 Å
α = 127.77°, β = 127.77°, γ = 77.00°
Last column: nearest neighbours and their distance in Å.
Element x y z (fractional)
Y: 0.0000 0.0000 0.0000  4 In 3.32, 4 Pb 3.32, 4 Tm 3.51
Tm: 0.5000 0.5000 0.0000  4 In 3.32, 4 Pb 3.32, 4 Y 3.51
In: 0.7500 0.2500 0.5000  4 Tm 3.32, 4 Y 3.32, 4 Pb 3.51
Pb: 0.2500 0.7500 0.5000  4 Tm 3.32, 4 Y 3.32, 4 In 3.51

Properties
* distance to the lowest polymorph of the same formula: 0.00 eV per formula unit
* theoretical density: 8.9 Mg/m³
* energy: -19.1 eV/cell
* symmetry: I-4m2
* calculated formation energy: -0.4330 eV per atom
* DOS(E_F): 0.741 states/eV per atom